# 1
# K2Ta2F | Alexandria | SCAN | single point on PBEsol structure
data_K2Ta2F
_chemical_formula_sum 'K4 Ta4 F2'
_symmetry_space_group_name_H-M 'I 4/m m m'
_symmetry_Int_Tables_number 139
_symmetry_space_group_name_Hall '-I 4 2'
_cell_length_a 3.949
_cell_length_b 3.949
_cell_length_c 16.281
_cell_angle_alpha 90.00
_cell_angle_beta 90.00
_cell_angle_gamma 90.00
loop_
_atom_site_label
_atom_site_type_symbol
_atom_site_fract_x
_atom_site_fract_y
_atom_site_fract_z
K1 K 0.000 0.500 0.250
Ta1 Ta 0.000 0.000 0.068
F1 F 0.000 0.000 0.500
# VASP energy   -29.119 eV/atom

# 2
# Cs2WC | Alexandria | SCAN | single point on PBEsol structure
data_Cs2WC
_chemical_formula_sum 'Cs8 W4 C4'
_symmetry_space_group_name_H-M 'F m -3 m'
_symmetry_Int_Tables_number 225
_symmetry_space_group_name_Hall '-F 4 2 3'
_cell_length_a 8.564
_cell_length_b 8.564
_cell_length_c 8.564
_cell_angle_alpha 90.00
_cell_angle_beta 90.00
_cell_angle_gamma 90.00
loop_
_atom_site_label
_atom_site_type_symbol
_atom_site_fract_x
_atom_site_fract_y
_atom_site_fract_z
Cs1 Cs 0.250 0.250 0.250
W1 W 0.000 0.000 0.000
C1 C 0.000 0.000 0.500
# Energy of formation   2.7678 eV per atom

# 3
# ErAlNi | Alexandria | SCAN | single point on PBEsol structure
data_ErAlNi
_chemical_formula_sum 'Er8 Al8 Ni8'
_symmetry_space_group_name_H-M 'A m m 2'
_symmetry_Int_Tables_number 38
_cell_length_a 8.324
_cell_length_b 5.289
_cell_length_c 9.030
_cell_angle_alpha 90.00
_cell_angle_beta 90.00
_cell_angle_gamma 90.00
loop_
_symmetry_equiv_pos_as_xyz
'x,y,z'
'-x,-y,z'
'-x,y,z'
'x,-y,z'
'x,y+1/2,z+1/2'
'-x,-y+1/2,z+1/2'
'-x,y+1/2,z+1/2'
'x,-y+1/2,z+1/2'
loop_
_atom_site_label
_atom_site_type_symbol
_atom_site_fract_x
_atom_site_fract_y
_atom_site_fract_z
Er1 Er 0.174 0.000 0.000
Er2 Er 0.292 0.000 0.664
Al1 Al 0.238 0.000 0.326
Al2 Al 0.500 0.245 0.919
Ni1 Ni 0.000 0.000 0.496
Ni2 Ni 0.000 0.246 0.745
Ni3 Ni 0.500 0.000 0.164
# Energy of formation   -0.5917 eV per atom

# 4
# Zr2CdW | Alexandria | SCAN | single point on PBEsol structure
data_Zr2CdW
_chemical_formula_sum 'Zr2 Cd1 W1'
_symmetry_space_group_name_H-M 'P 4/m m m'
_symmetry_Int_Tables_number 123
_symmetry_space_group_name_Hall '-P 4 2'
_cell_length_a 3.394
_cell_length_b 3.394
_cell_length_c 6.844
_cell_angle_alpha 90.00
_cell_angle_beta 90.00
_cell_angle_gamma 90.00
loop_
_atom_site_label
_atom_site_type_symbol
_atom_site_fract_x
_atom_site_fract_y
_atom_site_fract_z
Zr1 Zr 0.000 0.000 0.226
Cd1 Cd 0.500 0.500 0.500
W1 W 0.500 0.500 0.000
# Energy of formation   -0.0817 eV per atom

# 5
# SbSe | Alexandria | SCAN | single point on PBEsol structure
data_SbSe
_chemical_formula_sum 'Sb6 Se6'
_symmetry_space_group_name_H-M 'R -3 m'
_symmetry_Int_Tables_number 166
_symmetry_space_group_name_Hall '-R 3 2"'
_cell_length_a 5.0145
_cell_length_b 5.0145
_cell_length_c 14.8225
_cell_angle_alpha 90.00
_cell_angle_beta 90.00
_cell_angle_gamma 120.00
loop_
_atom_site_label
_atom_site_type_symbol
_atom_site_fract_x
_atom_site_fract_y
_atom_site_fract_z
Sb1 Sb 0.0000 0.0000 0.2204
Se1 Se 0.0000 0.0000 0.4011
# VASP energy   -28.581 eV/atom

# 6
# CuIr3 | Alexandria | SCAN | single point on PBEsol structure
data_CuIr3
_chemical_formula_sum 'Cu2 Ir6'
_symmetry_space_group_name_H-M 'I m m 2'
_symmetry_Int_Tables_number 44
_cell_length_a 2.694
_cell_length_b 8.700
_cell_length_c 4.640
_cell_angle_alpha 90.00
_cell_angle_beta 90.00
_cell_angle_gamma 90.00
loop_
_symmetry_equiv_pos_as_xyz
'x,y,z'
'-x,-y,z'
'-x,y,z'
'x,-y,z'
'x+1/2,y+1/2,z+1/2'
'-x+1/2,-y+1/2,z+1/2'
'-x+1/2,y+1/2,z+1/2'
'x+1/2,-y+1/2,z+1/2'
loop_
_atom_site_label
_atom_site_type_symbol
_atom_site_fract_x
_atom_site_fract_y
_atom_site_fract_z
Cu1 Cu 0.000 0.000 0.000
Ir1 Ir 0.000 0.245 0.331
Ir2 Ir 0.000 0.500 0.004
# Energy of formation   0.0804 eV per atom

# 7
# BeSe3Cl | Alexandria | SCAN | single point on PBEsol structure
data_BeSe3Cl
_chemical_formula_sum 'Be1 Se3 Cl1'
_symmetry_space_group_name_H-M 'P m -3 m'
_symmetry_Int_Tables_number 221
_symmetry_space_group_name_Hall '-P 4 2 3'
_cell_length_a 4.840
_cell_length_b 4.840
_cell_length_c 4.840
_cell_angle_alpha 90.00
_cell_angle_beta 90.00
_cell_angle_gamma 90.00
loop_
_atom_site_label
_atom_site_type_symbol
_atom_site_fract_x
_atom_site_fract_y
_atom_site_fract_z
Be1 Be 0.000 0.000 0.000
Se1 Se 0.000 0.500 0.500
Cl1 Cl 0.500 0.500 0.500
# VASP energy   -13.231 eV/atom

# 8
# HgPtW2 | Alexandria | SCAN | single point on PBEsol structure
data_HgPtW2
_chemical_formula_sum 'Hg1 Pt1 W2'
_symmetry_space_group_name_H-M 'P 4/m m m'
_symmetry_Int_Tables_number 123
_symmetry_space_group_name_Hall '-P 4 2'
_cell_length_a 3.892
_cell_length_b 3.892
_cell_length_c 4.270
_cell_angle_alpha 90.00
_cell_angle_beta 90.00
_cell_angle_gamma 90.00
loop_
_atom_site_label
_atom_site_type_symbol
_atom_site_fract_x
_atom_site_fract_y
_atom_site_fract_z
Hg1 Hg 0.000 0.000 0.000
Pt1 Pt 0.500 0.500 0.000
W1 W 0.000 0.500 0.500
# Energy of formation   0.4686 eV per atom

Calculated total magnetization in order - 0.00, 31.91, 0.00, 0.00, 0.00, 0.13, 0.00, 0.00 Bohr magnetons per cell